No. 1
{
  "formula": "MnTl2Fe",
  "functional": "PBE-GGA",
  "state": "relaxed",
  "relative_energy_mev_per_atom": 139,
  "spacegroup": "No. 119",
  "formation_enthalpy_0k_mev_per_atom": 618,
  "vol_a3_per_cell": 153.7,
  "lattice": [[4.086, 0.000, 0.000], [0.000, 4.086, 0.000], [0.000, 0.000, 9.209]],
  "species": ["Mn", "Mn", "Tl", "Tl", "Tl", "Tl", "Fe", "Fe"],
  "frac_coords": [[0.000, 0.000, 0.000], [0.500, 0.500, 0.500], [0.000, 0.000, 0.500], [0.000, 0.500, 0.750], [0.500, 0.000, 0.250], [0.500, 0.500, 0.000], [0.000, 0.500, 0.250], [0.500, 0.000, 0.750]]
}

---

No. 2
{
  "formula": "HoTmInNi",
  "functional": "PBE-GGA",
  "state": "relaxed",
  "spacegroup": "No. 216",
  "formation_enthalpy_0k_mev_per_atom": -330,
  "vol_a3_per_cell": 363.3,
  "lattice": [[7.136, 0.000, 0.000], [0.000, 7.136, 0.000], [0.000, 0.000, 7.136]],
  "species": ["Ho", "Ho", "Ho", "Ho", "Tm", "Tm", "Tm", "Tm", "In", "In", "In", "In", "Ni", "Ni", "Ni", "Ni"],
  "frac_coords": [[0.000, 0.000, 0.000], [0.000, 0.500, 0.500], [0.500, 0.000, 0.500], [0.500, 0.500, 0.000], [0.000, 0.000, 0.500], [0.000, 0.500, 0.000], [0.500, 0.000, 0.000], [0.500, 0.500, 0.500], [0.250, 0.250, 0.250], [0.250, 0.750, 0.750], [0.750, 0.250, 0.750], [0.750, 0.750, 0.250], [0.250, 0.250, 0.750], [0.250, 0.750, 0.250], [0.750, 0.250, 0.250], [0.750, 0.750, 0.750]]
}

---

No. 3
{
  "formula": "ZrTc2TeS",
  "functional": "PBE-GGA",
  "state": "relaxed",
  "spacegroup": "No. 123",
  "raw_formation_energy_ev_per_atom": 1.39,
  "vol_a3_per_cell": 118.6,
  "lattice": [[4.841, 0.000, 0.000], [0.000, 4.841, 0.000], [0.000, 0.000, 5.061]],
  "species": ["Zr", "Tc", "Tc", "Te", "S"],
  "frac_coords": [[0.000, 0.000, 0.000], [0.000, 0.500, 0.500], [0.500, 0.000, 0.500], [0.500, 0.500, 0.500], [0.500, 0.500, 0.000]]
}

---

No. 4
{
  "formula": "CuWSe2",
  "functional": "PBE-GGA",
  "state": "relaxed",
  "relative_energy_mev_per_atom": 867,
  "spacegroup": "No. 47",
  "raw_formation_energy_ev_per_atom": 0.72,
  "vol_a3_per_cell": 70.3,
  "lattice": [[3.230, 0.000, 0.000], [0.000, 3.908, 0.000], [0.000, 0.000, 5.567]],
  "species": ["Cu", "W", "Se", "Se"],
  "frac_coords": [[0.000, 0.000, 0.000], [0.500, 0.000, 0.500], [0.000, 0.500, 0.500], [0.500, 0.500, 0.000]]
}

---

No. 5
{
  "formula": "Ca2YAgO5",
  "functional": "PBE-GGA",
  "state": "relaxed",
  "relative_energy_mev_per_atom": 0,
  "spacegroup": "No. 1",
  "raw_formation_energy_ev_per_atom": -2.23,
  "vol_a3_per_cell": 269.4,
  "lattice": [[5.942, 0.000, 0.000], [-1.561, 6.304, 0.000], [-1.622, -2.105, 7.192]],
  "species": ["Ca", "Ca", "Ca", "Ca", "Y", "Y", "Ag", "Ag", "O", "O", "O", "O", "O", "O", "O", "O", "O", "O"],
  "frac_coords": [[0.000, 0.000, 0.000], [0.153, 0.241, 0.563], [0.363, 0.549, 0.033], [0.678, 0.611, 0.590], [0.016, 0.705, 0.310], [0.597, 0.143, 0.244], [0.334, 0.850, 0.742], [0.738, 0.303, 0.832], [0.015, 0.470, 0.760], [0.021, 0.898, 0.620], [0.268, 0.595, 0.510], [0.270, 0.859, 0.159], [0.434, 0.163, 0.932], [0.538, 0.232, 0.552], [0.615, 0.758, 0.878], [0.645, 0.503, 0.280], [0.901, 0.016, 0.283], [0.982, 0.362, 0.085]]
}

---

No. 6
{
  "formula": "BeB",
  "functional": "PBE-GGA",
  "state": "relaxed",
  "relative_energy_mev_per_atom": 232,
  "spacegroup": "No. 38",
  "formation_enthalpy_0k_mev_per_atom": 263,
  "vol_a3_per_cell": 64.6,
  "lattice": [[2.932, 0.000, 0.000], [0.000, 3.302, 0.000], [0.000, 0.000, 6.670]],
  "species": ["Be", "Be", "Be", "Be", "B", "B", "B", "B"],
  "frac_coords": [[0.000, 0.000, 0.000], [0.000, 0.000, 0.322], [0.000, 0.500, 0.500], [0.000, 0.500, 0.822], [0.000, 0.000, 0.656], [0.000, 0.500, 0.156], [0.500, 0.000, 0.531], [0.500, 0.500, 0.031]]
}

---

No. 7
{
  "formula": "DyCd2Pd",
  "functional": "PBE-GGA",
  "state": "relaxed",
  "spacegroup": "No. 166",
  "formation_enthalpy_0k_mev_per_atom": 43,
  "vol_a3_per_cell": 278.8,
  "lattice": [[3.193, 0.000, 0.000], [-1.597, 2.765, 0.000], [0.000, 0.000, 31.572]],
  "species": ["Dy", "Dy", "Dy", "Cd", "Cd", "Cd", "Cd", "Cd", "Cd", "Pd", "Pd", "Pd"],
  "frac_coords": [[0.000, 0.000, 0.000], [0.333, 0.667, 0.667], [0.667, 0.333, 0.333], [0.000, 0.000, 0.099], [0.000, 0.000, 0.901], [0.333, 0.667, 0.568], [0.333, 0.667, 0.766], [0.667, 0.333, 0.234], [0.667, 0.333, 0.432], [0.000, 0.000, 0.500], [0.333, 0.667, 0.167], [0.667, 0.333, 0.833]]
}

---

| no. | spin magnetization (μB per formula unit) |
| --- | --- |
| 1 | 6.301 |
| 2 | 0.000 |
| 3 | 2.027 |
| 4 | 0.000 |
| 5 | 0.000 |
| 6 | 0.000 |
| 7 | 0.000 |